First-principles (GGA-PBE) data for a relaxed structure of DyZnSi2Pt5, as listed in the Alexandria database.

abc: 4.0298 4.0298 10.5111
angles: 90.00 90.00 90.00
With the nearest neighbours (Å) after each atom.
Fractional coordinates of all 9 atoms:
Zn 0.0000 0.0000 0.0000  8 Pt 2.62
Si 0.5000 0.5000 0.2770  5 Pt 2.34-2.37
Si 0.5000 0.5000 0.7230  5 Pt 2.34-2.37
Dy 0.0000 0.0000 0.5000  4 Pt 2.85
Pt 0.0000 0.5000 0.1588  2 Si 2.37, 2 Zn 2.62
Pt 0.0000 0.5000 0.8412  2 Si 2.37, 2 Zn 2.62
Pt 0.5000 0.5000 0.5000  2 Si 2.34
Pt 0.5000 0.0000 0.8412  2 Si 2.37, 2 Zn 2.62
Pt 0.5000 0.0000 0.1588  2 Si 2.37, 2 Zn 2.62

## Properties
Calculated total energy   -5.930 eV per atom
ΔE_f (raw)   -6.44 eV/f.u.

First-principles (GGA-PBE) data for a relaxed structure of Dy3ZnSi2Pt9, as listed in the Alexandria database.

abc: 5.6543 5.6543 10.7608
angles: 90.00 90.00 120.00
With the nearest neighbours (Å) after each atom.
Fractional coordinates of all 15 atoms:
Pt 0.5000 0.5000 0.0000  2 Si 2.40
Pt 0.0000 0.5000 0.0000  2 Si 2.40
Pt 0.3272 0.1636 0.6815  1 Si 2.36, 1 Zn 2.53
Pt 0.1636 0.8364 0.3185  1 Si 2.36, 1 Zn 2.53
Pt 0.8364 0.1636 0.6815  1 Si 2.36, 1 Zn 2.53
Pt 0.8364 0.6728 0.6815  1 Si 2.36, 1 Zn 2.53
Pt 0.5000 0.0000 0.0000  2 Si 2.40
Pt 0.1636 0.3272 0.3185  1 Si 2.36, 1 Zn 2.53
Pt 0.6728 0.8364 0.3185  1 Si 2.36, 1 Zn 2.53
Dy 0.0000 0.0000 0.0000  6 Pt 2.83
Dy 0.3333 0.6667 0.5824  9 Pt 3.02-3.29, 3 Zn 3.38
Dy 0.6667 0.3333 0.4176  9 Pt 3.02-3.29, 3 Zn 3.38
Si 0.6667 0.3333 0.8365  6 Pt 2.36-2.40
Si 0.3333 0.6667 0.1635  6 Pt 2.36-2.40
Zn 0.0000 0.0000 0.5000  6 Pt 2.53

## Properties
Calculated total energy   -6.194 eV per atom
ΔE_f (raw)   -12.62 eV/f.u.

First-principles (GGA-PBE) data for a relaxed structure of DyZnSiPt3, as listed in the Alexandria database.

abc: 5.5649 6.9084 6.7641
angles: 120.71 90.00 90.00
With the nearest neighbours (Å) after each atom.
Fractional coordinates of all 12 atoms:
Pt 0.5000 0.2951 0.0000  2 Si 2.43, 2 Zn 2.53
Pt 0.5000 0.7049 0.0000  2 Si 2.43, 2 Zn 2.53
Pt 0.2500 0.1821 0.3643  1 Si 2.29
Pt 0.0000 0.2951 0.0000  2 Si 2.43, 2 Zn 2.53
Pt 0.0000 0.7049 0.0000  2 Si 2.43, 2 Zn 2.53
Pt 0.7500 0.8179 0.6357  1 Si 2.29
Si 0.2500 0.3788 0.7576  5 Pt 2.29-2.43
Si 0.7500 0.6212 0.2424  5 Pt 2.29-2.43
Dy 0.7500 0.2967 0.5934  1 Zn 2.91, 2 Si 2.94, 6 Pt 3.08-3.09
Dy 0.2500 0.7033 0.4066  1 Zn 2.91, 2 Si 2.94, 6 Pt 3.08-3.09
Zn 0.2500 0.9539 0.9078  5 Pt 2.53-2.65
Zn 0.7500 0.0461 0.0922  5 Pt 2.53-2.65

## Properties
Calculated total energy   -5.658 eV per atom
ΔE_f (raw)   -4.53 eV/f.u.

First-principles (GGA-PBE) data for a relaxed structure of Dy2ZrSi4Pt3, as listed in the Alexandria database.

abc: 4.1721 4.1721 10.5647
angles: 90.00 90.00 90.00
With the nearest neighbours (Å) after each atom.
Fractional coordinates of all 10 atoms:
Si 0.0000 0.5000 0.3453  3 Pt 2.41-2.65, 2 Zr 2.65
Si 0.0000 0.0000 0.0000  4 Pt 2.43
Si 0.5000 0.0000 0.6547  3 Pt 2.41-2.65, 2 Zr 2.65
Si 0.5000 0.5000 0.0000  4 Pt 2.43
Zr 0.5000 0.5000 0.5000  4 Si 2.65, 4 Pt 2.95
Pt 0.0000 0.0000 0.5000  4 Si 2.65, 4 Zr 2.95
Pt 0.0000 0.5000 0.1172  5 Si 2.41-2.43
Pt 0.5000 0.0000 0.8828  5 Si 2.41-2.43
Dy 0.0000 0.5000 0.7639  8 Si 3.17-3.25, 6 Pt 3.21-3.48, 2 Zr 3.48
Dy 0.5000 0.0000 0.2361  8 Si 3.17-3.25, 6 Pt 3.21-3.48, 2 Zr 3.48

## Properties
Calculated total energy   -6.764 eV per atom
ΔE_f (raw)   -10.08 eV/f.u.

Question: Which of these has the highest calculated total energy?
Answer: DyZnSiPt3

Question: The highest calculated total energy belongs to which entry?
Answer: DyZnSiPt3